The following is a DFT calculation (PBE-GGA) of a relaxed structure of Mg4VAg2.

Properties
Spin magnetization   4.144 μB per formula unit
Space group   I4/mmm, No. 139
Calculated volume   25.735 A^3/atom
Formation energy from the elements   0.586 eV per atom

Lattice parameters (Å, degrees): 5.1390 5.1390 7.7288 70.58 70.58 90.00
Site moments in Bohr magnetons follow the coordinates.
Positions (direct):
1 V 0.0000 0.0000 0.0000  3.04
2 Ag 0.6022 0.6022 0.7957  0.01
3 Ag 0.3978 0.3978 0.2043  0.01
4 Mg 0.5000 0.0000 0.0000  0.04
5 Mg 0.7988 0.7988 0.4024  0.01
6 Mg 0.0000 0.5000 0.0000  0.04
7 Mg 0.2012 0.2012 0.5976  0.01